# TlInCo4

A relaxed TlInCo4 crystal (GGA-PBEsol, Alexandria).

Cell lengths 6.913, 6.913, 6.913 Å; angles 90.00, 90.00, 90.00 degrees
Space group F-43m (No. 216)
Symmetry-distinct sites (fractional):
Tl 0.000 0.000 0.000 (multiplicity 4)
In 0.250 0.250 0.250 (multiplicity 4)
Co 0.125 0.125 0.625 (multiplicity 16)

Output
formation enthalpy at 0 K = 0.315 eV per atom